Entry 1:
Below is As2OsPd after structural relaxation, with properties calculated at the PBE level.

Calculated values
Energy of formation from the pure elements ... 167 meV/atom
M_tot ... 0.00 μB per formula unit
Crystal system ... tetragonal
Final energy ... -50.11 eV for the cell shown
Fermi-level density of states ... 0.75 states/eV per atom

Cell: 5.687 5.687 6.708 Å, 64.92 64.92 90.00°
Positions (direct):
1 As 0.375 0.360 0.750
2 Pd 0.500 0.500 0.000
3 Pd 0.250 0.750 0.500
4 Os 0.750 0.250 0.500
5 As 0.875 0.890 0.750
6 Os 0.000 0.000 0.000
7 As 0.110 0.625 0.250
8 As 0.640 0.125 0.250

***

Entry 2:
Below is As2OsPd after structural relaxation, with properties calculated at the PBE level.

Calculated values
Energy of formation from the pure elements ... 261 meV/atom
M_tot ... 0.01 μB per formula unit
Crystal system ... cubic
Final energy ... -24.68 eV for the cell shown
Fermi-level density of states ... 1.19 states/eV per atom

Cell: 4.457 4.457 4.457 Å, 60.00 60.00 60.00°
Positions (direct):
1 As 0.750 0.750 0.750
2 As 0.250 0.250 0.250
3 Pd 0.000 0.000 0.000
4 Os 0.500 0.500 0.500

***

Entry 3:
Below is AsOs3Pd after structural relaxation, with properties calculated at the PBE level.

Calculated values
Energy of formation from the pure elements ... 1714 meV/atom
M_tot ... 0.78 μB per formula unit
Crystal system ... cubic
Final energy ... -34.96 eV for the cell shown
Fermi-level density of states ... 1.89 states/eV per atom

Cell: 4.500 4.500 4.500 Å, 90.00 90.00 90.00°
Positions (direct):
1 Os 0.000 0.500 0.000
2 Pd 0.500 0.500 0.500
3 As 0.000 0.000 0.000
4 Os 0.000 0.000 0.500
5 Os 0.500 0.000 0.000

***

Entry 4:
Below is AsOs3Pd after structural relaxation, with properties calculated at the PBE level.

Calculated values
Energy of formation from the pure elements ... 2747 meV/atom
M_tot ... 4.64 μB per formula unit
Crystal system ... cubic
Final energy ... -29.80 eV for the cell shown
Fermi-level density of states ... 1.60 states/eV per atom

Cell: 4.736 4.736 4.736 Å, 90.00 90.00 90.00°
Positions (direct):
1 Os 0.000 0.000 0.500
2 Os 0.000 0.500 0.000
3 Pd 0.000 0.000 0.000
4 Os 0.500 0.000 0.000
5 As 0.500 0.500 0.500

***

Entry 5:
Below is AsOsPd2 after structural relaxation, with properties calculated at the PBE level.

Calculated values
Energy of formation from the pure elements ... 436 meV/atom
M_tot ... 0.00 μB per formula unit
Crystal system ... tetragonal
Final energy ... -49.04 eV for the cell shown
Fermi-level density of states ... 0.97 states/eV per atom

Cell: 3.711 3.711 9.791 Å, 79.08 79.08 90.00°
Positions (direct):
1 Os 0.750 0.250 0.500
2 Pd 0.123 0.625 0.250
3 Os 0.000 0.000 0.000
4 As 0.500 0.500 0.000
5 Pd 0.875 0.877 0.750
6 Pd 0.375 0.373 0.750
7 Pd 0.627 0.125 0.250
8 As 0.250 0.750 0.500

***

Entry 6:
Below is As3OsPd after structural relaxation, with properties calculated at the PBE level.

Calculated values
Energy of formation from the pure elements ... 795 meV/atom
M_tot ... 0.00 μB per formula unit
Crystal system ... cubic
Final energy ... -26.39 eV for the cell shown
Fermi-level density of states ... 1.98 states/eV per atom

Cell: 4.784 4.784 4.784 Å, 90.00 90.00 90.00°
Positions (direct):
1 Os 0.000 0.000 0.000
2 As 0.000 0.000 0.500
3 Pd 0.500 0.500 0.500
4 As 0.000 0.500 0.000
5 As 0.500 0.000 0.000

***

Which calculated volume belongs to each record? In order, 21.7, 15.6, 18.2, 21.2, 16.2, 21.9 A^3/atom.